(1)
DFT (PBE) results for a relaxed SrVCoHg2 crystal.

a = 5.3207 Å, b = 4.3073 Å, c = 5.3207 Å
α = 90.00°, β = 90.00°, γ = 90.00°
Atoms (fractional coordinates):
1 Co 0.0000 0.5000 0.0000
2 V 0.0000 0.0000 0.0000
3 Hg 0.5000 0.0000 0.0000
4 Hg 0.0000 0.0000 0.5000
5 Sr 0.5000 0.5000 0.5000

VASP energy = -3.370 eV/atom
Symmetry = P4/mmm (123)
ΔE_f = 0.332 eV/atom

---

(2)
DFT (PBE) results for a relaxed SrZn2CoHg crystal.

a = 4.7008 Å, b = 4.7008 Å, c = 5.0492 Å
α = 90.00°, β = 90.00°, γ = 90.00°
Atoms (fractional coordinates):
1 Co 0.0000 0.0000 0.0000
2 Zn 0.5000 0.0000 0.0000
3 Zn 0.0000 0.5000 0.0000
4 Hg 0.0000 0.0000 0.5000
5 Sr 0.5000 0.5000 0.5000

VASP energy = -2.425 eV/atom
Symmetry = P4/mmm (123)
ΔE_f = -0.097 eV/atom

---

(3)
DFT (PBE) results for a relaxed TaCoHg3 crystal.

a = 4.8002 Å, b = 4.8002 Å, c = 4.8002 Å
α = 90.00°, β = 90.00°, γ = 90.00°
Atoms (fractional coordinates):
1 Ta 0.5000 0.5000 0.5000
2 Hg 0.5000 0.0000 0.0000
3 Hg 0.0000 0.5000 0.0000
4 Hg 0.0000 0.0000 0.5000
5 Co 0.0000 0.0000 0.0000

VASP energy = -2.701 eV/atom
Symmetry = Pm-3m (221)
Distance to the lowest polymorph of the same formula = 0.0 meV/atom
ΔE_f = 1.272 eV/atom